# La5TbMg4

Crystalline La5TbMg4 at its relaxed geometry (PBE, Alexandria via LeMat-Bulk).

a = 3.9121 Å, b = 3.9121 Å, c = 20.8960 Å
α = 90.00°, β = 90.00°, γ = 90.00°
Positions (direct):
La  0.0000  0.0000  0.0000
La  0.0000  0.0000  0.1924
La  0.0000  0.0000  0.3853
La  0.0000  0.0000  0.6147
La  0.0000  0.0000  0.8076
Tb  0.5000  0.5000  0.5000
Mg  0.5000  0.5000  0.0963
Mg  0.5000  0.5000  0.2894
Mg  0.5000  0.5000  0.7106
Mg  0.5000  0.5000  0.9037

Computed properties:
As for the total magnetic moment: 0.00 μB per formula unit. As for the formation energy from the elements: -0.077 eV/atom.